Below is a relaxed structure of Be2AgSe, with properties calculated at the PBE-GGA level.

Lattice parameters (Å, degrees): 3.6512 3.6512 6.7420 90.00 90.00 127.36
Positions (direct):
Se 0.5000 0.5000 0.2500
Ag 0.5000 0.5000 0.7500
Be 0.0000 0.0000 0.0220
Be 0.0000 0.0000 0.4780

Calculated values
Theoretical density in kg/m³: 4761
Crystal system: orthorhombic

---

Below is a relaxed structure of Be2AgSe, with properties calculated at the PBE-GGA level.

Lattice parameters (Å, degrees): 4.7486 4.7486 4.7486 140.08 117.09 77.15
Positions (direct):
Se 0.7500 0.2500 0.5000
Ag 0.2500 0.7500 0.5000
Be 0.5173 0.5173 0.0000
Be 0.9827 0.9827 0.0000

Calculated values
Theoretical density in kg/m³: 5703
Crystal system: orthorhombic

---

Below is a relaxed structure of Be2AgSe, with properties calculated at the PBE-GGA level.

Lattice parameters (Å, degrees): 3.4174 6.3936 5.2133 31.86 90.00 90.00
Positions (direct):
Se 0.5000 0.5000 0.5000
Be 0.0000 0.0000 0.0000
Be 0.5000 0.5000 0.0000
Ag 0.0000 0.0000 0.5000

Calculated values
Theoretical density in kg/m³: 5658
Crystal system: monoclinic

---

Below is a relaxed structure of Be2AgSe, with properties calculated at the PBE-GGA level.

Lattice parameters (Å, degrees): 4.6996 4.6996 4.6996 130.58 130.58 72.48
Positions (direct):
Be 0.5000 0.5000 0.0000
Be 0.0000 0.0000 0.0000
Ag 0.7500 0.2500 0.5000
Se 0.2500 0.7500 0.5000

Calculated values
Theoretical density in kg/m³: 5814
Crystal system: tetragonal

---

Below is a relaxed structure of Be3AgSe, with properties calculated at the PBE-GGA level.

Lattice parameters (Å, degrees): 4.2954 4.2954 4.2954 90.00 90.00 90.00
Positions (direct):
Ag 0.5000 0.5000 0.5000
Se 0.0000 0.0000 0.0000
Be 0.5000 0.0000 0.0000
Be 0.0000 0.0000 0.5000
Be 0.0000 0.5000 0.0000

Calculated values
Theoretical density in kg/m³: 4481
Crystal system: cubic
Energy relative to the lowest polymorph listed for this composition in eV/atom: 0.049

---

Below is a relaxed structure of BeAg2Se, with properties calculated at the PBE-GGA level.

Lattice parameters (Å, degrees): 3.9513 4.0192 5.9533 45.77 90.00 90.00
Positions (direct):
Ag 0.5000 0.5000 0.0000
Se 0.0000 0.0000 0.5000
Be 0.5000 0.5000 0.5000
Ag 0.0000 0.0000 0.0000

Calculated values
Theoretical density in kg/m³: 7445
Crystal system: monoclinic
Energy relative to the lowest polymorph listed for this composition in eV/atom: 0.305

---

Below is a relaxed structure of BeAg2Se, with properties calculated at the PBE-GGA level.

Lattice parameters (Å, degrees): 4.5980 4.5980 4.5980 60.00 60.00 60.00
Positions (direct):
Ag 0.7500 0.7500 0.7500
Se 0.5000 0.5000 0.5000
Be 0.0000 0.0000 0.0000
Ag 0.2500 0.2500 0.2500

Calculated values
Theoretical density in kg/m³: 7337
Crystal system: cubic
Energy relative to the lowest polymorph listed for this composition in eV/atom: 0.385

---

Below is a relaxed structure of BeSiAg2Se4, with properties calculated at the PBE-GGA level.

Lattice parameters (Å, degrees): 5.9321 5.9327 6.6827 116.35 116.35 90.00
Positions (direct):
Se 0.0598 0.1173 0.7289
Be 0.9859 0.4860 0.9718
Se 0.8601 0.4120 0.2146
Ag 0.4859 0.9860 0.9719
Si 0.7359 0.7359 0.4718
Se 0.3544 0.8025 0.2145
Ag 0.2360 0.2358 0.4716
Se 0.6691 0.6117 0.7290

Calculated values
Theoretical density in kg/m³: 5157
Crystal system: tetragonal

---

Below is a relaxed structure of BeTcAg2Se, with properties calculated at the PBE-GGA level.

Lattice parameters (Å, degrees): 5.1037 4.2361 5.1037 90.00 90.00 90.00
Each line ends with the local moment (μB).
Positions (direct):
Tc 0.0000 0.0000 0.0000  1.58
Ag 0.0000 0.0000 0.5000  0.12
Se 0.5000 0.5000 0.5000  0.16
Ag 0.5000 0.0000 0.0000  0.03
Be 0.0000 0.5000 0.0000  -0.01

Calculated values
Theoretical density in kg/m³: 6045
Crystal system: tetragonal

---

Below is a relaxed structure of ZrBeAgSe2, with properties calculated at the PBE-GGA level.

Lattice parameters (Å, degrees): 5.1248 5.6736 5.1248 90.00 90.00 90.00
Positions (direct):
Ag 0.0000 0.5000 0.0000
Se 0.5000 0.0000 0.0000
Be 0.5000 0.5000 0.5000
Zr 0.0000 0.0000 0.0000
Se 0.0000 0.0000 0.5000

Calculated values
Theoretical density in kg/m³: 4079
Crystal system: tetragonal

---

Below is a relaxed structure of Be2SiAg, with properties calculated at the PBE-GGA level.

Lattice parameters (Å, degrees): 3.8082 3.7826 3.4724 90.00 90.00 90.00
Positions (direct):
Be 0.5000 0.5000 0.0000
Si 0.5000 0.0000 0.5000
Ag 0.0000 0.5000 0.5000
Be 0.0000 0.0000 0.0000

Calculated values
Theoretical density in kg/m³: 5112
Crystal system: orthorhombic

---

Below is a relaxed structure of BeSi2Ag, with properties calculated at the PBE-GGA level.

Lattice parameters (Å, degrees): 3.0917 2.6241 7.1626 79.75 90.00 90.00
Positions (direct):
Ag 0.0000 0.4199 0.5272
Si 0.0000 0.2083 0.9590
Si 0.5000 0.0701 0.2456
Be 0.5000 0.8017 0.7682

Calculated values
Theoretical density in kg/m³: 5025
Crystal system: monoclinic

---

Below is a relaxed structure of BeSiAg2, with properties calculated at the PBE-GGA level.

Lattice parameters (Å, degrees): 4.3990 4.3990 4.3990 60.00 60.00 60.00
Positions (direct):
Be 0.0000 0.0000 0.0000
Ag 0.7500 0.7500 0.7500
Si 0.5000 0.5000 0.5000
Ag 0.2500 0.2500 0.2500

Calculated values
Theoretical density in kg/m³: 6975
Crystal system: cubic
Energy relative to the lowest polymorph listed for this composition in eV/atom: 0.165

---

Below is a relaxed structure of BeSi2Ag, with properties calculated at the PBE-GGA level.

Lattice parameters (Å, degrees): 7.7696 7.7696 7.7696 22.01 22.01 22.01
Positions (direct):
Si 0.0134 0.0134 0.0134
Be 0.7500 0.7500 0.7500
Si 0.4866 0.4866 0.4866
Ag 0.2500 0.2500 0.2500

Calculated values
Theoretical density in kg/m³: 4975
Crystal system: trigonal

---

Below is a relaxed structure of BeSi2Ag, with properties calculated at the PBE-GGA level.

Lattice parameters (Å, degrees): 4.3768 4.3768 4.3768 60.00 60.00 60.00
Positions (direct):
Be 0.7500 0.7500 0.7500
Si 0.2500 0.2500 0.2500
Si 0.0000 0.0000 0.0000
Ag 0.5000 0.5000 0.5000

Calculated values
Theoretical density in kg/m³: 4847
Crystal system: cubic

---

Below is a relaxed structure of BeSi2Ag, with properties calculated at the PBE-GGA level.

Lattice parameters (Å, degrees): 3.9517 3.9517 8.4070 76.41 76.41 90.00
Positions (direct):
Ag 0.0000 0.0000 0.0000
Si 0.1773 0.6250 0.2500
Be 0.2500 0.7500 0.5000
Be 0.5000 0.5000 0.0000
Ag 0.7500 0.2500 0.5000
Si 0.5727 0.1250 0.2500
Si 0.8750 0.8227 0.7500
Si 0.3750 0.4273 0.7500

Calculated values
Theoretical density in kg/m³: 4641
Crystal system: tetragonal

---

Below is a relaxed structure of Be2SiAg, with properties calculated at the PBE-GGA level.

Lattice parameters (Å, degrees): 4.2513 4.2513 4.4488 82.95 82.95 39.16
Positions (direct):
Be 0.7477 0.7477 0.7610
Ag 0.2541 0.2541 0.2244
Be 0.0069 0.0069 0.9661
Si 0.4913 0.4913 0.5485

Calculated values
Theoretical density in kg/m³: 5078
Crystal system: monoclinic

---

Below is a relaxed structure of BeSi2Ag, with properties calculated at the PBE-GGA level.

Lattice parameters (Å, degrees): 4.8153 4.8153 2.6386 90.00 90.00 90.00
Positions (direct):
Ag 0.5000 0.0000 0.5000
Si 0.5000 0.5000 0.0000
Si 0.0000 0.0000 0.0000
Be 0.0000 0.5000 0.5000

Calculated values
Theoretical density in kg/m³: 4697
Crystal system: tetragonal

---

Below is a relaxed structure of BeSi2Ag, with properties calculated at the PBE-GGA level.

Lattice parameters (Å, degrees): 6.0085 6.4615 5.9362 154.82 141.58 45.59
Positions (direct):
Ag 0.3939 0.2810 0.8154
Si 0.0200 0.2102 0.0745
Si 0.7856 0.2607 0.5489
Be 0.3005 0.7480 0.5612

Calculated values
Theoretical density in kg/m³: 4719
Crystal system: triclinic

---

Below is a relaxed structure of BeSiAg2, with properties calculated at the PBE-GGA level.

Lattice parameters (Å, degrees): 3.9125 3.9125 9.0561 77.52 77.52 90.00
Positions (direct):
Ag 0.3750 0.3789 0.7500
Ag 0.6211 0.1250 0.2500
Be 0.2500 0.7500 0.5000
Si 0.7500 0.2500 0.5000
Be 0.5000 0.5000 0.0000
Ag 0.1289 0.6250 0.2500
Si 0.0000 0.0000 0.0000
Ag 0.8750 0.8711 0.7500

Calculated values
Theoretical density in kg/m³: 6361
Crystal system: tetragonal
Energy relative to the lowest polymorph listed for this composition in eV/atom: 0.227

---

no.,magnetic moment (μB/f.u.),ΔE_f (raw) (meV per atom),volume (Å³ per atom)
1,0.000,440,17.86
2,0.000,528,14.91
3,0.000,290,15.03
4,0.000,570,14.63
5,0.000,957,15.85
6,0.000,294,16.94
7,0.000,374,17.18
8,0.000,-394,22.89
9,2.117,1409,22.07
10,0.000,490,29.80
11,0.000,374,12.50
12,0.000,364,14.30
13,0.000,412,15.05
14,0.000,392,14.44
15,0.000,620,14.82
16,0.000,370,15.48
17,0.000,309,12.59
18,0.000,600,15.30
19,0.000,364,15.22
20,0.000,474,16.50